A relaxed structure of GaAs2PdSe. Source: Alexandria via LeMat-Bulk, functional PBEsol.

N(E_F) = 3.86 states/eV per cell
Excess energy over the best structure of this formula in the dataset = 332 meV per atom
Space group = P4/mmm (123)
Magnetization = 0.00 μB/cell
Raw formation energy = 0.813 eV/atom

The structure in POSCAR format:
```
GaAs2PdSe
1.0
-4.210 -0.930 1.966
-0.285 -4.011 -2.506
2.207 -2.400 3.590
Se As Ga Pd
1 2 1 1
direct
0.000 0.000 0.500
0.000 0.500 0.000
0.500 0.000 0.000
0.000 0.000 0.000
0.500 0.500 0.500
```

***

A relaxed structure of SrZr3Ge. Source: Alexandria via LeMat-Bulk, functional PBEsol.

N(E_F) = 8.83 states/eV per cell
Space group = Pm-3m (221)
Magnetization = 0.00 μB/cell
E_tot = -32.66 eV for the cell shown

The structure in POSCAR format:
```
SrZr3Ge
1.0
5.167 0.000 0.000
0.000 5.167 0.000
0.000 0.000 5.167
Ge Zr Sr
1 3 1
direct
0.000 0.000 0.000
0.500 0.000 0.000
0.000 0.000 0.500
0.000 0.500 0.000
0.500 0.500 0.500
```

***

> The highest N(E_F) belongs to which entry?

SrZr3Ge

***

> What is the magnetization in the second record?

0.00 μB/cell